Record 1
Density functional theory data (PBE) for Ga4HgSb after structural relaxation.

The value obtained for the raw formation energy is 112 meV per atom.

The structure belongs to space group F-43m (No. 216); the cell edges are 8.107, 8.107 and 8.107 Å and the angles 90.00°, 90.00° and 90.00°. The inequivalent atoms are Ga at (0.125, 0.125, 0.125), Hg at (0.250, 0.250, 0.750) and Sb at (0.000, 0.000, 0.500).

Record 2
Density functional theory data (PBE) for NaMgCd3Pb after structural relaxation.

Its calculated formation energy is -0.05 eV/atom.

The structure belongs to space group Cmcm (No. 63); the cell edges are 3.624, 16.421 and 10.061 Å and the angles 90.00°, 90.00° and 90.00°. The inequivalent atoms are Na at (0.000, 0.210, 0.250), Mg at (0.000, 0.000, 0.000), Cd at (0.000, 0.122, 0.750), Cd at (0.000, 0.335, 0.014) and Pb at (0.000, 0.456, 0.750).

Record 3
Density functional theory data (PBE) for Al3InGe after structural relaxation.

Its calculated formation energy is 0.98 eV/atom. The energy above the most stable polymorph in this dataset is 447.5 meV per atom.

The structure belongs to space group Pm-3m (No. 221); the cell edges are 5.159, 5.159 and 5.159 Å and the angles 90.00°, 90.00° and 90.00°. The inequivalent atoms are Al at (0.000, 0.000, 0.500), In at (0.000, 0.000, 0.000) and Ge at (0.500, 0.500, 0.500).

Record 4
Density functional theory data (PBE) for Y2PW after structural relaxation.

Its calculated formation energy is 0.38 eV/atom.

The structure belongs to space group F-43m (No. 216); the cell edges are 6.826, 6.826 and 6.826 Å and the angles 90.00°, 90.00° and 90.00°. The inequivalent atoms are Y at (0.000, 0.000, 0.000), Y at (0.250, 0.250, 0.250), P at (0.000, 0.000, 0.500) and W at (0.250, 0.250, 0.750).

Record 5
Density functional theory data (PBE) for BaRh2Se after structural relaxation.

The value obtained for the raw formation energy is -52 meV per atom.

The structure belongs to space group Immm (No. 71); the cell edges are 3.946, 5.718 and 8.281 Å and the angles 90.00°, 90.00° and 90.00°. The inequivalent atoms are Ba at (0.000, 0.000, 0.000), Rh at (0.000, 0.500, 0.176) and Se at (0.000, 0.000, 0.500).

Record 6
Density functional theory data (PBE) for K2HgW after structural relaxation.

Its calculated formation energy is 1.05 eV/atom.

The structure belongs to space group R-3m (No. 166, hexagonal axes); the cell edges are 3.0905, 3.0905 and 36.9525 Å and the angles 90.00°, 90.00° and 120.00°. The inequivalent atoms are K at (0.0000, 0.0000, 0.2481), Hg at (0.0000, 0.0000, 0.0000) and W at (0.0000, 0.0000, 0.5000).